{"formula": "Na4Cr3SbO8", "functional": "PBE+U", "state": "optimized geometry", "cell": [[-3.2549, 3.4096, 4.4141], [-0.4115, -5.3179, 3.8043], [5.6697, 1.8936, -2.0059]], "species": ["O", "O", "Cr", "O", "Cr", "Na", "O", "Cr", "O", "O", "Na", "Na", "O", "Sb", "O", "Na"], "frac_coords": [[0.7307, 0.6814, 0.4613], [0.7602, 0.7051, 0.9719], [0.0000, 0.5000, 0.5000], [0.2296, 0.7146, 0.4592], [0.5000, 0.5000, 0.0000], [0.0000, 0.0000, 0.0000], [0.2117, 0.7051, 0.9719], [0.5000, 0.5000, 0.5000], [0.2693, 0.3186, 0.5387], [0.7883, 0.2949, 0.0281], [0.0000, 0.0000, 0.5000], [0.5000, 0.0000, 0.5000], [0.2398, 0.2949, 0.0281], [0.0000, 0.5000, 0.0000], [0.7704, 0.2854, 0.5408], [0.5000, 0.0000, 0.0000]], "density_g_cm3": 4.4, "final_energy_ev_per_atom": -6.14}